1.
! Hf2CuAsW | Alexandria | PBE-GGA | relaxed; values from VASP
! - E_form: 0.850 eV/atom
&SYSTEM
  ibrav = 0, nat = 5, ntyp = 4
/
ATOMIC_SPECIES
Cu 63.55 Cu.upf
Hf 178.49 Hf.upf
W 183.84 W.upf
As 74.92 As.upf
ATOMIC_POSITIONS crystal
Cu 0.000 0.000 0.000
Hf 0.000 0.000 0.500
Hf 0.500 0.000 0.000
W 0.000 0.500 0.000
As 0.500 0.500 0.500
CELL_PARAMETERS angstrom
4.805 0.000 0.000
0.000 4.538 0.000
0.000 0.000 4.805

2.
! CaThCuOs | Alexandria | PBE-GGA | relaxed; values from VASP
! - E_form: -0.015 eV/atom
&SYSTEM
  ibrav = 0, nat = 4, ntyp = 4
/
ATOMIC_SPECIES
Ca 40.08 Ca.upf
Cu 63.55 Cu.upf
Th 232.04 Th.upf
Os 190.23 Os.upf
ATOMIC_POSITIONS crystal
Ca 0.000 0.000 0.000
Cu 0.250 0.250 0.250
Th 0.500 0.500 0.500
Os 0.750 0.750 0.750
CELL_PARAMETERS angstrom
4.954 0.000 0.000
2.477 4.290 0.000
2.477 1.430 4.045

3.
! Dy3ThSc | Alexandria | PBE-GGA | relaxed; values from VASP
! - Energy above the lowest structure with this stoichiometry: 0.000 eV/atom
! - E_form: 0.045 eV/atom
&SYSTEM
  ibrav = 0, nat = 20, ntyp = 3
/
ATOMIC_SPECIES
Dy 162.50 Dy.upf
Sc 44.96 Sc.upf
Th 232.04 Th.upf
ATOMIC_POSITIONS crystal
Dy 0.352 0.725 0.479
Dy 0.149 0.026 0.772
Dy 0.351 0.228 0.974
Dy 0.546 0.920 0.671
Dy 0.851 0.974 0.228
Dy 0.046 0.671 0.920
Dy 0.148 0.521 0.275
Dy 0.648 0.275 0.521
Dy 0.454 0.080 0.329
Dy 0.852 0.479 0.725
Dy 0.954 0.329 0.080
Dy 0.649 0.772 0.026
Sc 0.547 0.422 0.172
Sc 0.453 0.578 0.828
Sc 0.953 0.828 0.578
Sc 0.047 0.172 0.422
Th 0.250 0.874 0.126
Th 0.750 0.126 0.874
Th 0.250 0.376 0.624
Th 0.750 0.624 0.376
CELL_PARAMETERS angstrom
-2.399 4.331 0.333
2.452 -2.493 13.046
10.106 2.079 8.716

4.
! Mn2CoSn | Alexandria | PBE-GGA | relaxed; values from VASP
! - E_form: 0.056 eV/atom
&SYSTEM
  ibrav = 0, nat = 4, ntyp = 3
/
ATOMIC_SPECIES
Mn 54.94 Mn.upf
Co 58.93 Co.upf
Sn 118.71 Sn.upf
ATOMIC_POSITIONS crystal
Mn 0.250 0.250 0.250
Mn 0.000 0.000 0.000
Co 0.500 0.500 0.500
Sn 0.750 0.750 0.750
CELL_PARAMETERS angstrom
4.303 0.000 0.000
2.151 3.726 0.000
2.151 1.242 3.513

5.
! Ce2HfZr3N6 | Alexandria | PBE-GGA | relaxed; values from VASP
! - Formation energy from raw total energies: -1648.0 meV per atom
&SYSTEM
  ibrav = 0, nat = 12, ntyp = 4
/
ATOMIC_SPECIES
N 14.01 N.upf
Ce 140.12 Ce.upf
Zr 91.22 Zr.upf
Hf 178.49 Hf.upf
ATOMIC_POSITIONS crystal
N 0.597 0.914 0.741
N 0.771 0.771 0.263
N 0.086 0.403 0.259
N 0.229 0.229 0.737
N 0.403 0.086 0.259
N 0.914 0.597 0.741
Ce 0.666 0.334 0.000
Ce 0.334 0.666 0.000
Zr 0.836 0.164 0.500
Zr 0.500 0.500 0.500
Zr 0.164 0.836 0.500
Hf 0.000 0.000 0.000
CELL_PARAMETERS angstrom
5.805 0.002 0.001
-2.900 5.029 0.001
-0.968 -1.676 5.478

6.
! La3ScPb2 | Alexandria | PBE-GGA | relaxed; values from VASP
! - E_form: -0.447 eV/atom
&SYSTEM
  ibrav = 0, nat = 12, ntyp = 3
/
ATOMIC_SPECIES
Pb 207.20 Pb.upf
Sc 44.96 Sc.upf
La 138.91 La.upf
ATOMIC_POSITIONS crystal
Pb 0.639 0.868 0.737
Pb 0.903 0.632 0.263
Pb 0.361 0.132 0.263
Pb 0.097 0.368 0.737
Sc 0.000 0.750 0.000
Sc 0.000 0.250 0.000
La 0.500 0.750 0.000
La 0.433 0.675 0.351
La 0.918 0.175 0.351
La 0.500 0.250 0.000
La 0.567 0.325 0.649
La 0.082 0.825 0.649
CELL_PARAMETERS angstrom
6.695 0.000 0.000
0.000 6.615 0.000
-3.347 -3.308 8.809

7.
! CdGeW2 | Alexandria | PBE-GGA | relaxed; values from VASP
! - Energy above the lowest structure with this stoichiometry: 0.000 eV/atom
! - E_form: 0.854 eV/atom
&SYSTEM
  ibrav = 0, nat = 4, ntyp = 3
/
ATOMIC_SPECIES
Cd 112.41 Cd.upf
W 183.84 W.upf
Ge 72.64 Ge.upf
ATOMIC_POSITIONS crystal
Cd 0.500 0.500 0.500
W 0.250 0.250 0.250
W 0.750 0.750 0.750
Ge 0.000 0.000 0.000
CELL_PARAMETERS angstrom
1.519 -3.778 2.001
-2.431 -1.958 3.293
-2.075 -3.962 -0.762

8.
! Nd7Ho2Mg2 | Alexandria | PBE-GGA | relaxed; values from VASP
! - Energy above the lowest structure with this stoichiometry: 0.000 eV/atom
! - E_form: 0.076 eV/atom
&SYSTEM
  ibrav = 0, nat = 11, ntyp = 3
/
ATOMIC_SPECIES
Nd 144.24 Nd.upf
Ho 164.93 Ho.upf
Mg 24.30 Mg.upf
ATOMIC_POSITIONS crystal
Nd 0.512 0.930 0.395
Nd 0.512 0.395 0.930
Nd 0.962 0.679 0.679
Nd 0.488 0.605 0.070
Nd 0.488 0.070 0.605
Nd 0.038 0.321 0.321
Nd 0.000 0.000 0.000
Ho 0.500 0.698 0.302
Ho 0.500 0.302 0.698
Mg 0.014 0.162 0.162
Mg 0.986 0.838 0.838
CELL_PARAMETERS angstrom
3.480 1.430 0.553
1.215 11.614 1.568
2.643 4.692 10.479

Spin magnetization across the listed records, respectively: 0.0; 0.0; 0.0; 1.5; 0.0; 2.7; 0.0; 0.0 μB per cell.